Computed, not measured: a relaxed Li2Co4O7F crystal at the PBE with a Hubbard U level of DFT.

Cell: 5.7051 5.7051 5.8732 Å, 59.90 59.90 62.39°
With the nearest neighbours (Å) after each atom.
Positions (direct):
Li (0.5017, 0.5017, 0.9978)  1 F 1.94, 5 O 2.04-2.09
Li (0.8852, 0.8852, 0.8675)  1 F 1.84, 3 O 1.97-2.01
Co (0.1239, 0.1239, 0.1287)  4 O 1.79-1.95
Co (0.4961, 0.9998, 0.4938)  5 O 1.83-1.99
Co (0.9998, 0.4961, 0.4938)  5 O 1.83-1.99
Co (0.5016, 0.5016, 0.5022)  6 O 1.85-1.98
O (0.7428, 0.7428, 0.2903)  3 Co 1.91-1.93, 1 Li 2.01
O (0.7371, 0.2981, 0.7100)  2 Co 1.83-1.85, 1 Li 1.97
O (0.2981, 0.7371, 0.7100)  2 Co 1.83-1.85, 1 Li 1.97
O (0.7149, 0.2554, 0.2834)  3 Co 1.88-1.94, 1 Li 2.09
O (0.2441, 0.2441, 0.2698)  3 Co 1.79-1.99
O (0.2554, 0.7149, 0.2834)  3 Co 1.88-1.94, 1 Li 2.09
O (0.2516, 0.2516, 0.7200)  4 Co 1.95-1.99
F (0.7471, 0.7471, 0.7497)  2 Li 1.84-1.94

As for the space group: Cm (8). The total magnetization comes out at 0.97 μB/cell. The final energy is -5.62 eV/atom.